## 1
First-principles (PBE) data for a relaxed CuNiC3 crystal, as listed in the Alexandria database.

Computed properties:
As for the space group: Pm-3m. As for the density: 4.92 g/cm3.

Lattice parameters (Å, degrees): 3.765 3.765 3.765 90.00 90.00 90.00
Fractional positions:
Cu  0.000  0.000  0.000
Ni  0.500  0.500  0.500
C  0.000  0.000  0.500
C  0.000  0.500  0.000
C  0.500  0.000  0.000

## 2
First-principles (PBE) data for a relaxed CuNiC3 crystal, as listed in the Alexandria database.

Computed properties:
As for the space group: Pm-3m. As for the density: 5.01 g/cm3.

Lattice parameters (Å, degrees): 3.744 3.744 3.744 90.00 90.00 90.00
Fractional positions:
Cu  0.000  0.000  0.000
Ni  0.500  0.500  0.500
C  0.000  0.500  0.500
C  0.500  0.000  0.500
C  0.500  0.500  0.000

Which of them is the most stable? Correct choice: 2.

## 1
First-principles (PBE) data for a relaxed CuNiC2 crystal, as listed in the Alexandria database.

Computed properties:
As for the space group: I-42d. As for the density: 5.68 g/cm3.

Lattice parameters (Å, degrees): 5.187 5.187 5.187 127.30 127.30 77.76
Fractional positions:
Cu  0.000  0.000  0.000
Cu  0.750  0.250  0.500
Ni  0.250  0.750  0.500
Ni  0.500  0.500  0.000
C  0.147  0.625  0.022
C  0.375  0.397  0.522
C  0.603  0.125  0.978
C  0.875  0.853  0.478

## 2
First-principles (PBE) data for a relaxed CuNiC2 crystal, as listed in the Alexandria database.

Computed properties:
As for the space group: Fm-3m. As for the density: 7.13 g/cm3.

Lattice parameters (Å, degrees): 3.639 3.639 3.639 60.00 60.00 60.00
Fractional positions:
Cu  0.000  0.000  0.000
Ni  0.500  0.500  0.500
C  0.250  0.250  0.250
C  0.750  0.750  0.750

Which of them is the most stable? Correct choice: 1.

## 1
First-principles (PBE) data for a relaxed CuNiPC crystal, as listed in the Alexandria database.

Computed properties:
As for the space group: R3m. As for the density: 5.56 g/cm3.

Lattice parameters (Å, degrees): 4.868 4.868 4.868 43.37 43.37 43.37
Fractional positions:
Cu  0.000  0.000  0.000
Ni  0.201  0.201  0.201
P  0.470  0.470  0.470
C  0.341  0.341  0.341

## 2
First-principles (PBE) data for a relaxed CuNiPC crystal, as listed in the Alexandria database.

Computed properties:
As for the space group: Pm. As for the density: 4.85 g/cm3.

Lattice parameters (Å, degrees): 2.944 3.735 5.333 90.00 105.18 90.00
Fractional positions:
Cu  0.000  0.000  0.000
Ni  0.667  0.500  0.599
P  0.218  0.000  0.424
C  0.817  0.000  0.628

Which of them is the most stable? Correct choice: 1.

## 1
First-principles (PBE) data for a relaxed CuNiPC crystal, as listed in the Alexandria database.

Computed properties:
As for the space group: P1. As for the density: 5.59 g/cm3.

Lattice parameters (Å, degrees): 2.961 3.815 4.682 105.90 103.99 92.03
Fractional positions:
Cu  0.000  0.000  0.000
Ni  0.356  0.826  0.500
P  0.822  0.404  0.674
C  0.220  0.296  0.431

## 2
First-principles (PBE) data for a relaxed CuNiPC crystal, as listed in the Alexandria database.

Computed properties:
As for the space group: Cm. As for the density: 4.98 g/cm3.

Lattice parameters (Å, degrees): 3.949 3.949 5.532 120.53 120.53 50.48
Fractional positions:
Cu  0.000  0.000  0.000
Ni  0.524  0.524  0.658
P  0.603  0.603  0.328
C  0.896  0.896  0.591

## 3
First-principles (PBE) data for a relaxed CuNiPC crystal, as listed in the Alexandria database.

Computed properties:
As for the space group: Cm. As for the density: 6.04 g/cm3.

Lattice parameters (Å, degrees): 4.463 4.463 4.142 114.30 114.30 37.71
Fractional positions:
Cu  0.000  0.000  0.000
Ni  0.807  0.807  0.322
P  0.115  0.115  0.591
C  0.743  0.743  0.777

## 4
First-principles (PBE) data for a relaxed CuNiPC crystal, as listed in the Alexandria database.

Computed properties:
As for the space group: Imm2. As for the density: 6.01 g/cm3.

Lattice parameters (Å, degrees): 4.598 4.598 4.598 143.33 127.14 66.05
Fractional positions:
Cu  0.000  0.000  0.000
Ni  0.302  0.802  0.500
P  0.687  0.687  0.000
C  0.552  0.052  0.500

Which of them is the most stable? Correct choice: 4.